Na6Fe2C4SO16 (GGA+U, relaxed); density of states at the Fermi level = 11.22 states/eV/f.u.; SG = Fd-3 (203); ρ = 2.772 Mg/m³; energy = -6.4139 eV per atom
1.0
0.000 7.053 7.053
7.053 0.000 7.053
7.053 7.053 0.000
Na Fe C S O
12 4 8 2 32
direct
0.092 0.092 0.658
0.092 0.658 0.092
0.092 0.658 0.658
0.342 0.342 0.908
0.342 0.908 0.342
0.342 0.908 0.908
0.658 0.092 0.092
0.658 0.092 0.658
0.658 0.658 0.092
0.908 0.342 0.342
0.908 0.342 0.908
0.908 0.908 0.342
0.000 0.500 0.500
0.500 0.000 0.500
0.500 0.500 0.000
0.500 0.500 0.500
0.281 0.281 0.281
0.281 0.281 0.657
0.281 0.657 0.281
0.343 0.719 0.719
0.657 0.281 0.281
0.719 0.343 0.719
0.719 0.719 0.343
0.719 0.719 0.719
0.125 0.125 0.125
0.875 0.875 0.875
0.064 0.064 0.064
0.064 0.064 0.309
0.064 0.309 0.064
0.140 0.304 0.659
0.140 0.398 0.304
0.140 0.659 0.398
0.304 0.140 0.398
0.304 0.398 0.659
0.304 0.659 0.140
0.309 0.064 0.064
0.341 0.602 0.860
0.341 0.696 0.602
0.341 0.860 0.696
0.398 0.140 0.659
0.398 0.304 0.140
0.398 0.659 0.304
0.602 0.341 0.696
0.602 0.696 0.860
0.602 0.860 0.341
0.659 0.140 0.304
0.659 0.304 0.398
0.659 0.398 0.140
0.691 0.936 0.936
0.696 0.341 0.860
0.696 0.602 0.341
0.696 0.860 0.602
0.860 0.341 0.602
0.860 0.602 0.696
0.860 0.696 0.341
0.936 0.691 0.936
0.936 0.936 0.691
0.936 0.936 0.936